# 1
Computed, not measured: a geometry-optimized Ba3Zn2WO8 structure at the GGA+U level of DFT.

a = 5.8320 Å, b = 5.8320 Å, c = 7.6503 Å
α = 90.00°, β = 90.00°, γ = 120.00°
Space group P-3m1 (No. 164)
Unique sites:
1 Ba 0.0000 0.0000 0.0000 [1 per cell]
2 Ba 0.3333 0.6667 0.6616 [2 per cell]
3 Zn 0.3333 0.6667 0.2148 [2 per cell]
4 W 0.0000 0.0000 0.5000 [1 per cell]
5 O 0.1571 0.3142 0.3499 [6 per cell]
6 O 0.3333 0.6667 0.9753 [2 per cell]

Summary:
The density of states at the Fermi level comes out at 0.00 states/eV/f.u.



# 2
Computed, not measured: a geometry-optimized Ba3ZnW2O9 structure at the GGA+U level of DFT.

a = 5.8950 Å, b = 5.8950 Å, c = 7.0981 Å
α = 90.00°, β = 90.00°, γ = 120.00°
Space group P-3m1 (No. 164)
Unique sites:
1 Ba 0.0000 0.0000 0.0000 [1 per cell]
2 Ba 0.3333 0.6667 0.6598 [2 per cell]
3 Zn 0.0000 0.0000 0.5000 [1 per cell]
4 W 0.3333 0.6667 0.1718 [2 per cell]
5 O 0.0000 0.5000 0.0000 [3 per cell]
6 O 0.1711 0.3422 0.3204 [6 per cell]



# 3
Computed, not measured: a geometry-optimized BaZnW2O8 structure at the GGA+U level of DFT.

a = 7.6519 Å, b = 7.6519 Å, c = 6.9830 Å
α = 90.00°, β = 90.00°, γ = 90.00°
Space group I-4m2 (No. 119)
Unique sites:
1 Ba 0.0000 0.0000 0.0000 [2 per cell]
2 Zn 0.0000 0.5000 0.2500 [2 per cell]
3 W 0.0000 0.0000 0.5000 [2 per cell]
4 W 0.0000 0.5000 0.7500 [2 per cell]
5 O 0.0000 0.1953 0.3478 [8 per cell]
6 O 0.0000 0.3199 0.9169 [8 per cell]

Summary:
The density of states at the Fermi level comes out at 0.00 states/eV/f.u.



# 4
Computed, not measured: a geometry-optimized BaZnW4O8 structure at the GGA+U level of DFT.

a = 5.7686 Å, b = 5.7686 Å, c = 7.3060 Å
α = 90.00°, β = 90.00°, γ = 120.00°
Space group P-31m (No. 162)
Unique sites:
1 Ba 0.0000 0.0000 0.0000 [1 per cell]
2 Zn 0.0000 0.0000 0.5000 [1 per cell]
3 W 0.3333 0.6667 0.2831 [4 per cell]
4 O 0.0000 0.2922 0.3143 [6 per cell]
5 O 0.3333 0.6667 0.0000 [2 per cell]

Summary:
The density of states at the Fermi level comes out at 3.13 states/eV/f.u.



# 5
Computed, not measured: a geometry-optimized Ba2ZrW3O12 structure at the GGA+U level of DFT.

a = 7.5610 Å, b = 7.5610 Å, c = 18.3068 Å
α = 90.00°, β = 90.00°, γ = 120.00°
Space group R-3m (No. 166, hexagonal axes)
Unique sites:
1 Ba 0.0000 0.0000 0.1809 [6 per cell]
2 Zr 0.0000 0.0000 0.5000 [3 per cell]
3 W 0.0000 0.5000 0.0000 [9 per cell]
4 O 0.0640 0.5320 0.1037 [18 per cell]
5 O 0.0887 0.5444 0.3563 [18 per cell]

Summary:
The density of states at the Fermi level comes out at 0.53 states/eV/f.u.



# 6
Computed, not measured: a geometry-optimized Ba2ZrWO6 structure at the GGA+U level of DFT.

a = 5.9243 Å, b = 5.9253 Å, c = 5.9762 Å
α = 119.68°, β = 119.70°, γ = 90.00°
Space group P-1 (No. 2)
Unique sites:
1 Ba 0.2500 0.2499 0.0000 [2 per cell]
2 Zr 0.0000 0.5000 0.5000 [1 per cell]
3 W 0.5000 0.0000 0.5000 [1 per cell]
4 O 0.2491 0.7498 0.9957 [2 per cell]
5 O 0.2513 0.7527 0.4964 [2 per cell]
6 O 0.2550 0.2474 0.5009 [2 per cell]

Summary:
The density of states at the Fermi level comes out at 0.00 states/eV/f.u.



# 7
Computed, not measured: a geometry-optimized BaZrWO6 structure at the GGA+U level of DFT.

a = 5.4976 Å, b = 5.4976 Å, c = 11.4384 Å
α = 90.00°, β = 90.00°, γ = 120.00°
Space group P-31c (No. 163)
Unique sites:
1 Ba 0.0000 0.0000 0.0000 [2 per cell]
2 Zr 0.3333 0.6667 0.2500 [2 per cell]
3 W 0.3333 0.6667 0.7500 [2 per cell]
4 O 0.0215 0.3980 0.6520 [12 per cell]

Summary:
The density of states at the Fermi level comes out at 0.00 states/eV/f.u.



# 8
Computed, not measured: a geometry-optimized BaZr2WO8 structure at the GGA+U level of DFT.

a = 8.1659 Å, b = 6.6067 Å, c = 7.3183 Å
α = 90.00°, β = 100.91°, γ = 90.00°
Space group C2/m (No. 12)
Unique sites:
1 Ba 0.0000 0.0000 0.0000 [2 per cell]
2 Zr 0.0547 0.5000 0.2302 [4 per cell]
3 W 0.0000 0.0000 0.5000 [2 per cell]
4 O 0.0034 0.2107 0.3089 [8 per cell]
5 O 0.1603 0.5000 0.0059 [4 per cell]
6 O 0.2379 0.0000 0.5605 [4 per cell]

Summary:
The density of states at the Fermi level comes out at 0.00 states/eV/f.u.



The following electronic total energy values (in eV per atom) correspond, in order, to the records above: -6.102; -6.768; -6.645; -6.410; -7.628; -7.767; -8.025; -8.231.